Below is SmYGa6 after structural relaxation, with properties calculated at the PBE level.

As for the formation enthalpy at 0 K: -0.55 eV per atom. The density is 6.8 g/cm³.

Lattice parameters (Å, degrees): 4.599 6.328 6.328 119.97 90.00 90.00
Element x y z (fractional)
Sm: 0.500 0.416 0.584
Y: 0.000 0.083 0.917
Ga: 0.000 0.039 0.394
Ga: 0.000 0.606 0.961
Ga: 0.000 0.605 0.395
Ga: 0.500 0.458 0.104
Ga: 0.500 0.896 0.542
Ga: 0.500 0.896 0.104